No. 1
## PPt2 (meta-GGA SCAN)

Data for PPt2 at its PBEsol-relaxed geometry.

The formation energy comes out at -416.0 meV per atom. As for the density of states at the Fermi level: 4.4 states/eV/cell.

The space group is C2/m (No. 12) and the conventional cell measures 9.973, 3.486 and 5.472 Å, with angles of 90.00, 108.58 and 90.00 degrees. The distinct sites, in fractional coordinates, are P at (0.184, 0.000, 0.150), Pt at (0.066, 0.500, 0.273) and Pt at (0.142, 0.000, 0.706).

=====

No. 2
## ZrTa2Rh (meta-GGA SCAN)

Data for ZrTa2Rh at its PBEsol-relaxed geometry.

The formation energy comes out at -360.5 meV per atom. As for the density of states at the Fermi level: 2.1 states/eV/cell.

The space group is P4mm (No. 99) and the conventional cell measures 3.241, 3.241 and 6.618 Å, with angles of 90.00, 90.00 and 90.00 degrees. The distinct sites, in fractional coordinates, are Zr at (0.000, 0.000, 0.000), Ta at (0.000, 0.000, 0.486), Ta at (0.500, 0.500, 0.731) and Rh at (0.500, 0.500, 0.252).

=====

No. 3
## TlCdPb (meta-GGA SCAN)

Data for TlCdPb at its PBEsol-relaxed geometry.

The formation energy comes out at 40.7 meV per atom. As for the density of states at the Fermi level: 2.0 states/eV/cell.

The space group is I4mm (No. 107) and the conventional cell measures 3.349, 3.349 and 14.110 Å, with angles of 90.00, 90.00 and 90.00 degrees. The distinct sites, in fractional coordinates, are Tl at (0.000, 0.000, 0.000), Cd at (0.000, 0.000, 0.656) and Pb at (0.000, 0.000, 0.313).

=====

| no. | total magnetic moment (μB/cell) |
| --- | --- |
| 1 | 0.000 |
| 2 | 0.000 |
| 3 | 0.000 |